GGA-PBE AsIrF3, relaxed; calculated volume = 15.50 Å³/atom; E above lowest polymorph = 0.1103 eV per atom; ρ = 6945 kg/m3; formation energy from raw total energies = -6.1 kJ/mol of atoms; magnetization = 0.426 μB/atom; SG = Pm-3m (221)
1.0
4.264 0.000 0.000
0.000 4.264 0.000
0.000 0.000 4.264
As Ir F
1 1 3
Cartesian
0.000 0.000 0.000
2.132 2.132 2.132
0.000 0.000 2.132
0.000 2.132 0.000
2.132 0.000 0.000

GGA-PBE AsIrF2, relaxed; calculated volume = 17.78 Å³/atom; E above lowest polymorph = 0.3105 eV per atom; ρ = 7126 kg/m3; formation energy from raw total energies = -26.2 kJ/mol of atoms; magnetization = 0.156 μB/atom; SG = I-42d (122)
1.0
7.785 0.000 0.000
0.000 7.785 0.000
0.000 0.000 4.692
As Ir F
4 4 8
Cartesian
0.000 0.000 0.000
0.000 3.893 1.173
3.893 0.000 3.519
3.893 3.893 2.346
0.000 0.000 2.346
0.000 3.893 3.519
3.893 0.000 1.173
3.893 3.893 0.000
0.853 1.946 2.933
1.946 4.746 4.106
1.946 6.932 1.760
3.040 1.946 0.587
4.746 5.839 0.587
5.839 0.853 1.760
5.839 3.040 4.106
6.932 5.839 2.933

GGA-PBE AsIr2F, relaxed; calculated volume = 14.91 Å³/atom; E above lowest polymorph = 0.2340 eV per atom; ρ = 13318 kg/m3; formation energy from raw total energies = 19.9 kJ/mol of atoms; magnetization = 0.001 μB/atom; SG = I-42d (122)
1.0
6.515 0.000 0.000
0.000 6.515 0.000
0.000 0.000 5.621
As Ir F
4 8 4
Cartesian
0.000 0.000 0.000
0.000 3.257 1.405
3.257 0.000 4.216
3.257 3.257 2.811
1.608 1.629 0.703
1.629 4.865 2.108
1.629 4.907 4.918
1.650 1.629 3.513
4.865 4.886 3.513
4.886 1.608 4.918
4.886 1.650 2.108
4.907 4.886 0.703
0.000 0.000 2.811
0.000 3.257 4.216
3.257 0.000 1.405
3.257 3.257 0.000

Number 1: calculated total energy -3.89 eV per atom. Number 2: calculated total energy -4.58 eV per atom. Number 3: calculated total energy -5.85 eV per atom.